Entry 1
The following is a PBE calculation of a relaxed structure of CsAcTl, from Alexandria via LeMat-Bulk.

Lattice parameters (Å, degrees): 4.3155 4.3155 16.4124 90.00 90.00 90.00
Closest atoms and distances in Å follow each position.
Atoms (fractional coordinates):
1 Cs 0.0000 0.0000 0.0000  4 Tl 4.12, 1 Ac 4.30, 4 Cs 4.32
2 Cs 0.5000 0.5000 0.5000  4 Tl 4.12, 1 Ac 4.30, 4 Cs 4.32
3 Ac 0.0000 0.0000 0.2621  4 Tl 3.42
4 Ac 0.5000 0.5000 0.7621  4 Tl 3.42
5 Tl 0.0000 0.0000 0.6683  4 Ac 3.42
6 Tl 0.5000 0.5000 0.1683  4 Ac 3.42



Entry 2
The following is a PBE calculation of a relaxed structure of CsAcTl, from Alexandria via LeMat-Bulk.

Lattice parameters (Å, degrees): 11.1195 5.1105 12.9688 90.00 107.78 90.00
Closest atoms and distances in Å follow each position.
Atoms (fractional coordinates):
1 Cs 0.1974 0.0000 0.1640  2 Tl 3.89
2 Cs 0.3026 0.5000 0.8360  2 Tl 3.89
3 Cs 0.6974 0.5000 0.1640  2 Tl 3.89
4 Cs 0.8026 0.0000 0.8360  2 Tl 3.89
5 Ac 0.1113 0.5000 0.4236  5 Tl 3.38-3.66, 1 Ac 3.61
6 Ac 0.3887 0.0000 0.5764  5 Tl 3.38-3.66, 1 Ac 3.61
7 Ac 0.6113 0.0000 0.4236  5 Tl 3.38-3.66, 1 Ac 3.61
8 Ac 0.8887 0.5000 0.5764  5 Tl 3.38-3.66, 1 Ac 3.61
9 Tl 0.1069 0.0000 0.6246  1 Tl 3.38, 5 Ac 3.38-3.66
10 Tl 0.3931 0.5000 0.3754  1 Tl 3.38, 5 Ac 3.38-3.66
11 Tl 0.6069 0.5000 0.6246  1 Tl 3.38, 5 Ac 3.38-3.66
12 Tl 0.8931 0.0000 0.3754  1 Tl 3.38, 5 Ac 3.38-3.66



The structure with the most favorable energy is entry 2; the runner-up is 0.038 eV/atom above it.